Below is CaCu2Pt after structural relaxation, with properties calculated at the GGA-PBE level.

Output
Calculated total energy in eV per atom: -4.27
Density of states at the Fermi level in states/eV per cell: 1.13
SG: No. 99

Structure (POSCAR):
```
CaCu2Pt
1.0
3.2194 0.0000 0.0000
0.0000 3.2194 0.0000
0.0000 0.0000 6.5484
Ca Cu Pt
1 2 1
Cartesian
1.6097 1.6097 4.8867
0.0000 0.0000 0.4006
1.6097 1.6097 1.5465
0.0000 0.0000 2.9888
```